DFT (PBE) results for a geometry-optimized AcGdSiAu structure.

a = 5.3154 Å, b = 5.3154 Å, c = 5.3154 Å
α = 60.00°, β = 60.00°, γ = 60.00°
Atoms (fractional coordinates):
Ac 0.0000 0.0000 0.0000
Gd 0.5000 0.5000 0.5000
Si 0.2500 0.2500 0.2500
Au 0.7500 0.7500 0.7500

ΔE_f (raw) = -56.2 kJ per mole of atoms
Space-group type = F-43m, No. 216

***

DFT (PBE) results for a geometry-optimized Ac4Ge2Au5 structure.

a = 7.9235 Å, b = 4.2302 Å, c = 9.0551 Å
α = 90.00°, β = 92.61°, γ = 90.00°
Atoms (fractional coordinates):
Ac 0.2269 0.0000 0.1371
Ac 0.2612 0.0000 0.6266
Ac 0.7388 0.0000 0.3734
Ac 0.7731 0.0000 0.8629
Ge 0.0649 0.5000 0.3778
Ge 0.9351 0.5000 0.6222
Au 0.1255 0.5000 0.8800
Au 0.4115 0.5000 0.3612
Au 0.5000 0.5000 0.0000
Au 0.5885 0.5000 0.6388
Au 0.8745 0.5000 0.1200

Space-group type = P2/m, No. 10
Energy = -0.3359 Ry per atom

***

DFT (PBE) results for a geometry-optimized Ac3Ge12Au5 structure.

a = 14.1187 Å, b = 14.1187 Å, c = 14.1187 Å
α = 109.47°, β = 109.47°, γ = 109.47°
Atoms (fractional coordinates):
Ac 0.1250 0.2500 0.3750
Ac 0.1250 0.3750 0.7500
Ac 0.2500 0.3750 0.1250
Ac 0.2500 0.8750 0.6250
Ac 0.3750 0.1250 0.2500
Ac 0.3750 0.7500 0.1250
Ac 0.6250 0.2500 0.8750
Ac 0.6250 0.8750 0.7500
Ac 0.7500 0.1250 0.3750
Ac 0.7500 0.6250 0.8750
Ac 0.8750 0.6250 0.2500
Ac 0.8750 0.7500 0.6250
Ge 0.0076 0.2006 0.0684
Ge 0.0076 0.3070 0.9392
Ge 0.0608 0.5684 0.3678
Ge 0.0608 0.9924 0.6930
Ge 0.0684 0.0076 0.2006
Ge 0.0684 0.5608 0.8678
Ge 0.1322 0.7006 0.6930
Ge 0.1322 0.9316 0.4392
Ge 0.1930 0.2006 0.6322
Ge 0.1930 0.4924 0.5608
Ge 0.2006 0.0684 0.0076
Ge 0.2006 0.6322 0.1930
Ge 0.2994 0.3070 0.8678
Ge 0.2994 0.4924 0.4316
Ge 0.3070 0.8678 0.2994
Ge 0.3070 0.9392 0.0076
Ge 0.3678 0.0608 0.5684
Ge 0.3678 0.8070 0.7994
Ge 0.4316 0.2994 0.4924
Ge 0.4316 0.6322 0.9392
Ge 0.4392 0.1322 0.9316
Ge 0.4392 0.8070 0.5076
Ge 0.4924 0.4316 0.2994
Ge 0.4924 0.5608 0.1930
Ge 0.5076 0.4392 0.8070
Ge 0.5076 0.5684 0.7006
Ge 0.5608 0.1930 0.4924
Ge 0.5608 0.8678 0.0684
Ge 0.5684 0.3678 0.0608
Ge 0.5684 0.7006 0.5076
Ge 0.6322 0.1930 0.2006
Ge 0.6322 0.9392 0.4316
Ge 0.6930 0.0608 0.9924
Ge 0.6930 0.1322 0.7006
Ge 0.7006 0.5076 0.5684
Ge 0.7006 0.6930 0.1322
Ge 0.7994 0.3678 0.8070
Ge 0.7994 0.9316 0.9924
Ge 0.8070 0.5076 0.4392
Ge 0.8070 0.7994 0.3678
Ge 0.8678 0.0684 0.5608
Ge 0.8678 0.2994 0.3070
Ge 0.9316 0.4392 0.1322
Ge 0.9316 0.9924 0.7994
Ge 0.9392 0.0076 0.3070
Ge 0.9392 0.4316 0.6322
Ge 0.9924 0.6930 0.0608
Ge 0.9924 0.7994 0.9316
Au 0.0000 0.0000 0.0000
Au 0.0000 0.0000 0.5000
Au 0.0000 0.5000 0.0000
Au 0.0000 0.5000 0.5000
Au 0.1250 0.7500 0.8750
Au 0.1250 0.8750 0.2500
Au 0.2500 0.1250 0.8750
Au 0.2500 0.6250 0.3750
Au 0.3750 0.2500 0.6250
Au 0.3750 0.6250 0.7500
Au 0.5000 0.0000 0.0000
Au 0.5000 0.0000 0.5000
Au 0.5000 0.5000 0.0000
Au 0.5000 0.5000 0.5000
Au 0.6250 0.3750 0.2500
Au 0.6250 0.7500 0.3750
Au 0.7500 0.3750 0.6250
Au 0.7500 0.8750 0.1250
Au 0.8750 0.1250 0.7500
Au 0.8750 0.2500 0.1250

Space-group type = Ia-3d, No. 230
Energy = -0.3049 Ry per atom

***

DFT (PBE) results for a geometry-optimized AcGe6Au12 structure.

a = 7.4069 Å, b = 7.4069 Å, c = 7.4069 Å
α = 94.01°, β = 94.01°, γ = 94.01°
Atoms (fractional coordinates):
Ac 0.0000 0.0000 0.0000
Ge 0.2043 0.2043 0.6805
Ge 0.2043 0.6805 0.2043
Ge 0.3195 0.7957 0.7957
Ge 0.6805 0.2043 0.2043
Ge 0.7957 0.3195 0.7957
Ge 0.7957 0.7957 0.3195
Au 0.1326 0.5000 0.8674
Au 0.1326 0.8674 0.5000
Au 0.1588 0.4288 0.4288
Au 0.4288 0.1588 0.4288
Au 0.4288 0.4288 0.1588
Au 0.5000 0.1326 0.8674
Au 0.5000 0.8674 0.1326
Au 0.5712 0.5712 0.8412
Au 0.5712 0.8412 0.5712
Au 0.8412 0.5712 0.5712
Au 0.8674 0.1326 0.5000
Au 0.8674 0.5000 0.1326

Space-group type = R-3m, No. 166
Energy = -0.2791 Ry per atom

***

DFT (PBE) results for a geometry-optimized Ac6Ge3Au structure.

a = 7.2954 Å, b = 8.6815 Å, c = 13.4223 Å
α = 90.00°, β = 120.90°, γ = 90.00°
Atoms (fractional coordinates):
Ac 0.0835 0.1776 0.4263
Ac 0.0835 0.3224 0.9263
Ac 0.2709 0.6790 0.4180
Ac 0.2709 0.8210 0.9180
Ac 0.4155 0.0524 0.2509
Ac 0.4155 0.4476 0.7509
Ac 0.5845 0.5524 0.2491
Ac 0.5845 0.9476 0.7491
Ac 0.7291 0.1790 0.0820
Ac 0.7291 0.3210 0.5820
Ac 0.9165 0.6776 0.0737
Ac 0.9165 0.8224 0.5737
Ge 0.1727 0.1196 0.7412
Ge 0.1727 0.3804 0.2412
Ge 0.5000 0.0000 0.5000
Ge 0.5000 0.5000 0.0000
Ge 0.8273 0.6196 0.7588
Ge 0.8273 0.8804 0.2588
Au 0.0000 0.0000 0.0000
Au 0.0000 0.5000 0.5000

Space-group type = P2_1/c, No. 14
Energy = -0.3471 Ry per atom

***

DFT (PBE) results for a geometry-optimized AcGe4Au structure.

a = 5.7440 Å, b = 5.7440 Å, c = 5.7440 Å
α = 60.00°, β = 60.00°, γ = 60.00°
Atoms (fractional coordinates):
Ac 0.0000 0.0000 0.0000
Ge 0.3767 0.3767 0.3767
Ge 0.3767 0.3767 0.8700
Ge 0.3767 0.8700 0.3767
Ge 0.8700 0.3767 0.3767
Au 0.7500 0.7500 0.7500

Space-group type = F-43m, No. 216
Energy = -0.3276 Ry per atom